a.
This record from Alexandria describes a relaxed Tl2GaI6 crystal. The functional is GGA-PBE.

a b c (Å): 7.807 8.093 13.462
angles (deg): 90.00 123.55 90.00
Fractional positions:
Tl: 0.201 0.078 0.238
Tl: 0.201 0.422 0.738
Tl: 0.799 0.578 0.262
Tl: 0.799 0.922 0.762
Ga: 0.500 0.000 0.000
Ga: 0.500 0.500 0.500
I: 0.165 0.197 0.960
I: 0.165 0.303 0.460
I: 0.272 0.711 0.955
I: 0.272 0.789 0.455
I: 0.355 0.019 0.758
I: 0.355 0.481 0.258
I: 0.645 0.519 0.742
I: 0.645 0.981 0.242
I: 0.728 0.211 0.545
I: 0.728 0.289 0.045
I: 0.835 0.697 0.540
I: 0.835 0.803 0.040

Size of the total moment ... 0.00 μB/f.u.
Symmetry ... P2_1/c

b.
This record from Alexandria describes a relaxed Tl2GaI6 crystal. The functional is GGA-PBE.

a b c (Å): 8.208 8.208 8.981
angles (deg): 122.67 122.67 51.76
Fractional positions:
Tl: 0.206 0.206 0.272
Tl: 0.794 0.794 0.728
Ga: 0.500 0.500 0.000
I: 0.208 0.720 0.195
I: 0.262 0.262 0.703
I: 0.280 0.792 0.805
I: 0.720 0.208 0.195
I: 0.738 0.738 0.297
I: 0.792 0.280 0.805

Size of the total moment ... 0.00 μB/f.u.
Symmetry ... C2/m

Most stable one: a, least stable one: b.

a.
This record from Alexandria describes a relaxed Tl2GaI3 crystal. The functional is GGA-PBE.

a b c (Å): 8.555 8.555 8.555
angles (deg): 146.97 131.97 59.52
Fractional positions:
Tl: 0.169 0.169 0.000
Tl: 0.831 0.831 0.000
Ga: 0.500 0.500 0.000
I: 0.000 0.500 0.500
I: 0.346 0.846 0.500
I: 0.654 0.154 0.500

Size of the total moment ... 0.00 μB/f.u.
Symmetry ... Immm

b.
This record from Alexandria describes a relaxed Tl2GaI3 crystal. The functional is GGA-PBE.

a b c (Å): 10.167 10.167 6.964
angles (deg): 90.00 90.00 60.28
Fractional positions:
Tl: 0.002 0.667 0.500
Tl: 0.333 0.998 0.500
Tl: 0.667 0.002 0.000
Tl: 0.998 0.333 0.000
Ga: 0.338 0.662 0.985
Ga: 0.662 0.338 0.485
I: 0.015 0.667 0.000
I: 0.333 0.985 0.000
I: 0.348 0.652 0.516
I: 0.652 0.348 0.016
I: 0.667 0.015 0.500
I: 0.985 0.333 0.500

Size of the total moment ... 0.00 μB/f.u.
Symmetry ... Cmc2_1

Most stable one: a, least stable one: b.

a.
This record from Alexandria describes a relaxed Tl2GaI4 crystal. The functional is GGA-PBE.

a b c (Å): 8.669 8.669 9.065
angles (deg): 118.22 118.22 29.46
Fractional positions:
Tl: 0.210 0.210 0.193
Tl: 0.790 0.790 0.807
Ga: 0.500 0.500 0.500
I: 0.127 0.127 0.494
I: 0.398 0.398 0.128
I: 0.602 0.602 0.872
I: 0.873 0.873 0.506

Size of the total moment ... 0.00 μB/f.u.
Symmetry ... C2/m

b.
This record from Alexandria describes a relaxed Tl2GaI4 crystal. The functional is GGA-PBE.

a b c (Å): 9.732 9.732 9.732
angles (deg): 145.75 145.75 49.22
Fractional positions:
Tl: 0.140 0.140 0.000
Tl: 0.860 0.860 0.000
Ga: 0.500 0.500 0.000
I: 0.000 0.500 0.500
I: 0.330 0.330 0.000
I: 0.500 0.000 0.500
I: 0.670 0.670 0.000

Size of the total moment ... 0.00 μB/f.u.
Symmetry ... I4/mmm

Most stable one: b, least stable one: a.

a.
This record from Alexandria describes a relaxed U2GaI8 crystal. The functional is GGA-PBE.

a b c (Å): 9.625 9.625 7.942
angles (deg): 95.14 95.14 66.09
Fractional positions:
U: 0.186 0.186 0.129
U: 0.814 0.814 0.871
Ga: 0.000 0.000 0.500
I: 0.117 0.697 0.735
I: 0.178 0.178 0.757
I: 0.303 0.883 0.265
I: 0.360 0.360 0.260
I: 0.640 0.640 0.740
I: 0.697 0.117 0.735
I: 0.822 0.822 0.243
I: 0.883 0.303 0.265

Size of the total moment ... 5.00 μB/f.u.
Symmetry ... C2/m

b.
This record from Alexandria describes a relaxed U2GaI8 crystal. The functional is GGA-PBE.

a b c (Å): 10.250 10.250 6.226
angles (deg): 90.00 90.00 120.00
Fractional positions:
U: 0.333 0.667 0.234
U: 0.667 0.333 0.766
Ga: 0.000 0.000 0.000
I: 0.167 0.831 0.253
I: 0.169 0.335 0.253
I: 0.333 0.667 0.743
I: 0.335 0.167 0.747
I: 0.665 0.833 0.253
I: 0.667 0.333 0.257
I: 0.831 0.665 0.747
I: 0.833 0.169 0.747

Size of the total moment ... 5.00 μB/f.u.
Symmetry ... P-3

Most stable one: b, least stable one: a.

a.
This record from Alexandria describes a relaxed V3GaI crystal. The functional is GGA-PBE.

a b c (Å): 4.840 4.840 4.840
angles (deg): 90.00 90.00 90.00
Fractional positions:
V: 0.000 0.000 0.500
V: 0.000 0.500 0.000
V: 0.500 0.000 0.000
Ga: 0.000 0.000 0.000
I: 0.500 0.500 0.500

Size of the total moment ... 9.00 μB/f.u.
Symmetry ... Pm-3m

b.
This record from Alexandria describes a relaxed V3GaI crystal. The functional is GGA-PBE.

a b c (Å): 4.750 4.750 4.750
angles (deg): 90.00 90.00 90.00
Fractional positions:
V: 0.000 0.000 0.500
V: 0.000 0.500 0.000
V: 0.500 0.000 0.000
Ga: 0.500 0.500 0.500
I: 0.000 0.000 0.000

Size of the total moment ... 1.47 μB/f.u.
Symmetry ... Pm-3m

Most stable one: a, least stable one: b.

a.
This record from Alexandria describes a relaxed VGa2I8 crystal. The functional is GGA-PBE.

a b c (Å): 7.841 7.841 10.192
angles (deg): 101.83 101.83 96.11
Fractional positions:
V: 0.000 0.000 0.000
Ga: 0.159 0.159 0.306
Ga: 0.841 0.841 0.694
I: 0.166 0.825 0.204
I: 0.175 0.834 0.796
I: 0.288 0.288 0.120
I: 0.291 0.291 0.556
I: 0.709 0.709 0.444
I: 0.712 0.712 0.880
I: 0.825 0.166 0.204
I: 0.834 0.175 0.796

Size of the total moment ... 3.00 μB/f.u.
Symmetry ... C2/m

b.
This record from Alexandria describes a relaxed VGa2I8 crystal. The functional is GGA-PBE.

a b c (Å): 8.628 8.628 6.917
angles (deg): 95.32 95.32 81.21
Fractional positions:
V: 0.000 0.000 0.000
Ga: 0.194 0.194 0.644
Ga: 0.806 0.806 0.356
I: 0.084 0.733 0.218
I: 0.188 0.188 0.263
I: 0.267 0.916 0.782
I: 0.384 0.384 0.775
I: 0.616 0.616 0.225
I: 0.733 0.084 0.218
I: 0.812 0.812 0.737
I: 0.916 0.267 0.782

Size of the total moment ... 3.00 μB/f.u.
Symmetry ... C2/m

Most stable one: b, least stable one: a.

a.
This record from Alexandria describes a relaxed VGa2I2 crystal. The functional is GGA-PBE.

a b c (Å): 7.395 7.395 4.892
angles (deg): 90.00 90.00 90.00
Fractional positions:
V: 0.000 0.000 0.000
V: 0.500 0.500 0.000
Ga: 0.138 0.362 0.000
Ga: 0.362 0.862 0.000
Ga: 0.638 0.138 0.000
Ga: 0.862 0.638 0.000
I: 0.188 0.688 0.500
I: 0.312 0.188 0.500
I: 0.688 0.812 0.500
I: 0.812 0.312 0.500

Size of the total moment ... 3.54 μB/f.u.
Symmetry ... P4/mbm

b.
This record from Alexandria describes a relaxed VGa2I2 crystal. The functional is GGA-PBE.

a b c (Å): 5.875 5.875 5.875
angles (deg): 116.93 116.93 95.40
Fractional positions:
V: 0.000 0.000 0.000
Ga: 0.335 0.335 0.000
Ga: 0.665 0.665 0.000
I: 0.250 0.750 0.500
I: 0.750 0.250 0.500

Size of the total moment ... 3.40 μB/f.u.
Symmetry ... I4/mmm

Most stable one: a, least stable one: b.

a.
This record from Alexandria describes a relaxed VGaI3 crystal. The functional is GGA-PBE.

a b c (Å): 5.673 5.673 5.673
angles (deg): 90.00 90.00 90.00
Fractional positions:
V: 0.000 0.000 0.000
Ga: 0.500 0.500 0.500
I: 0.000 0.500 0.500
I: 0.500 0.000 0.500
I: 0.500 0.500 0.000

Size of the total moment ... 3.80 μB/f.u.
Symmetry ... Pm-3m

b.
This record from Alexandria describes a relaxed VGaI3 crystal. The functional is GGA-PBE.

a b c (Å): 5.625 5.625 5.625
angles (deg): 90.00 90.00 90.00
Fractional positions:
V: 0.000 0.000 0.000
Ga: 0.500 0.500 0.500
I: 0.000 0.000 0.500
I: 0.000 0.500 0.000
I: 0.500 0.000 0.000

Size of the total moment ... 3.00 μB/f.u.
Symmetry ... Pm-3m

Most stable one: b, least stable one: a.

a.
This record from Alexandria describes a relaxed VGa2I crystal. The functional is GGA-PBE.

a b c (Å): 7.916 7.916 7.916
angles (deg): 131.91 131.91 70.38
Fractional positions:
V: 0.000 0.000 0.000
V: 0.750 0.250 0.500
Ga: 0.067 0.625 0.942
Ga: 0.375 0.317 0.442
Ga: 0.683 0.125 0.058
Ga: 0.875 0.933 0.558
I: 0.250 0.750 0.500
I: 0.500 0.500 0.000

Size of the total moment ... 4.20 μB/f.u.
Symmetry ... I-42d

b.
This record from Alexandria describes a relaxed VGa2I crystal. The functional is GGA-PBE.

a b c (Å): 5.084 5.084 5.084
angles (deg): 60.00 60.00 60.00
Fractional positions:
V: 0.000 0.000 0.000
Ga: 0.250 0.250 0.250
Ga: 0.750 0.750 0.750
I: 0.500 0.500 0.500

Size of the total moment ... 3.54 μB/f.u.
Symmetry ... Fm-3m

Most stable one: a, least stable one: b.

a.
This record from Alexandria describes a relaxed GaWI3 crystal. The functional is GGA-PBE.

a b c (Å): 5.697 5.697 5.697
angles (deg): 90.00 90.00 90.00
Fractional positions:
Ga: 0.000 0.000 0.000
W: 0.500 0.500 0.500
I: 0.000 0.500 0.500
I: 0.500 0.000 0.500
I: 0.500 0.500 0.000

Size of the total moment ... 3.91 μB/f.u.
Symmetry ... Pm-3m

b.
This record from Alexandria describes a relaxed GaWI3 crystal. The functional is GGA-PBE.

a b c (Å): 5.628 5.628 5.628
angles (deg): 90.00 90.00 90.00
Fractional positions:
Ga: 0.000 0.000 0.000
W: 0.500 0.500 0.500
I: 0.000 0.000 0.500
I: 0.000 0.500 0.000
I: 0.500 0.000 0.000

Size of the total moment ... 4.95 μB/f.u.
Symmetry ... Pm-3m

Most stable one: a, least stable one: b.

a.
This record from Alexandria describes a relaxed GaW2I2 crystal. The functional is GGA-PBE.

a b c (Å): 8.599 8.599 3.237
angles (deg): 90.00 90.00 90.00
Fractional positions:
Ga: 0.000 0.000 0.000
Ga: 0.500 0.500 0.000
W: 0.097 0.403 0.500
W: 0.403 0.903 0.500
W: 0.597 0.097 0.500
W: 0.903 0.597 0.500
I: 0.188 0.688 0.000
I: 0.312 0.188 0.000
I: 0.688 0.812 0.000
I: 0.812 0.312 0.000

Size of the total moment ... 0.00 μB/f.u.
Symmetry ... P4/mbm

b.
This record from Alexandria describes a relaxed GaW2I2 crystal. The functional is GGA-PBE.

a b c (Å): 9.794 9.794 9.794
angles (deg): 158.25 158.25 30.96
Fractional positions:
Ga: 0.000 0.000 0.000
W: 0.250 0.750 0.500
W: 0.750 0.250 0.500
I: 0.380 0.380 0.000
I: 0.620 0.620 0.000

Size of the total moment ... 0.00 μB/f.u.
Symmetry ... I4/mmm

Most stable one: b, least stable one: a.

a.
This record from Alexandria describes a relaxed GaW2I crystal. The functional is GGA-PBE.

a b c (Å): 4.591 4.591 4.591
angles (deg): 60.00 60.00 60.00
Fractional positions:
Ga: 0.000 0.000 0.000
W: 0.250 0.250 0.250
W: 0.750 0.750 0.750
I: 0.500 0.500 0.500

Size of the total moment ... 0.00 μB/f.u.
Symmetry ... Fm-3m

b.
This record from Alexandria describes a relaxed GaW2I crystal. The functional is GGA-PBE.

a b c (Å): 9.769 9.769 9.769
angles (deg): 155.10 155.10 35.51
Fractional positions:
Ga: 0.000 0.000 0.000
Ga: 0.750 0.250 0.500
W: 0.056 0.625 0.931
W: 0.375 0.306 0.431
W: 0.694 0.125 0.069
W: 0.875 0.944 0.569
I: 0.250 0.750 0.500
I: 0.500 0.500 0.000

Size of the total moment ... 0.00 μB/f.u.
Symmetry ... I-42d

Most stable one: a, least stable one: b.